No. 1
# CsYU

A relaxed CsYU crystal (GGA-PBE, OQMD).

a = 5.993 Å, b = 5.993 Å, c = 10.149 Å
α = 90.00°, β = 90.00°, γ = 120.00°
Sites, in units of the cell vectors:
Cs 0.000 0.000 0.000
Cs 0.333 0.667 0.335
Cs 0.333 0.667 0.665
Y 0.000 0.000 0.330
Y 0.000 0.000 0.670
Y 0.333 0.667 0.000
U 0.667 0.333 0.123
U 0.667 0.333 0.500
U 0.667 0.333 0.877

Computed properties:
Symmetry   No. 187
Calculated volume   316 Å³/cell
E   -0.3584 Ry per atom

***

No. 2
# CsYU

A relaxed CsYU crystal (GGA-PBE, OQMD).

a = 5.939 Å, b = 5.939 Å, c = 5.939 Å
α = 60.00°, β = 60.00°, γ = 60.00°
Sites, in units of the cell vectors:
Cs 0.000 0.000 0.000
Y 0.250 0.250 0.250
U 0.500 0.500 0.500

Computed properties:
Symmetry   No. 216
Calculated volume   148 Å³/cell
E   -0.3158 Ry per atom

***

No. 3
# CsZrU

A relaxed CsZrU crystal (GGA-PBE, OQMD).

a = 5.403 Å, b = 5.403 Å, c = 5.403 Å
α = 60.00°, β = 60.00°, γ = 60.00°
Sites, in units of the cell vectors:
Cs 0.000 0.000 0.000
Zr 0.500 0.500 0.500
U 0.250 0.250 0.250

Computed properties:
Symmetry   No. 216
Calculated volume   111 Å³/cell
E   -0.3496 Ry per atom

***

No. 4
# CsZrU

A relaxed CsZrU crystal (GGA-PBE, OQMD).

a = 5.057 Å, b = 5.057 Å, c = 5.057 Å
α = 60.00°, β = 60.00°, γ = 60.00°
Sites, in units of the cell vectors:
Cs 0.000 0.000 0.000
Zr 0.250 0.250 0.250
U 0.750 0.750 0.750

Computed properties:
Symmetry   No. 216
Calculated volume   91 Å³/cell
E   -0.3436 Ry per atom

***

No. 5
# CsW2

A relaxed CsW2 crystal (GGA-PBE, OQMD).

a = 5.764 Å, b = 5.764 Å, c = 5.764 Å
α = 60.00°, β = 60.00°, γ = 60.00°
Sites, in units of the cell vectors:
Cs 0.125 0.125 0.125
Cs 0.875 0.875 0.875
W 0.000 0.500 0.500
W 0.500 0.000 0.500
W 0.500 0.500 0.000
W 0.500 0.500 0.500

Computed properties:
Symmetry   No. 227
Calculated volume   135 Å³/cell
E   -0.5018 Ry per atom

***

No. 6
# CsZrW

A relaxed CsZrW crystal (GGA-PBE, OQMD).

a = 4.737 Å, b = 4.737 Å, c = 4.737 Å
α = 60.00°, β = 60.00°, γ = 60.00°
Sites, in units of the cell vectors:
Cs 0.000 0.000 0.000
Zr 0.250 0.250 0.250
W 0.750 0.750 0.750

Computed properties:
Symmetry   No. 216
Calculated volume   75 Å³/cell
E   -0.3381 Ry per atom

***

No. 7
# CsZrW

A relaxed CsZrW crystal (GGA-PBE, OQMD).

a = 4.886 Å, b = 4.886 Å, c = 4.886 Å
α = 60.00°, β = 60.00°, γ = 60.00°
Sites, in units of the cell vectors:
Cs 0.000 0.000 0.000
Zr 0.500 0.500 0.500
W 0.250 0.250 0.250

Computed properties:
Symmetry   No. 216
Calculated volume   82 Å³/cell
E   -0.3949 Ry per atom

***

No. 8
# CsZn2

A relaxed CsZn2 crystal (GGA-PBE, OQMD).

a = 10.664 Å, b = 10.664 Å, c = 4.587 Å
α = 90.00°, β = 90.00°, γ = 156.61°
Sites, in units of the cell vectors:
Cs 0.095 0.905 0.750
Cs 0.905 0.095 0.250
Zn 0.254 0.746 0.250
Zn 0.312 0.688 0.750
Zn 0.688 0.312 0.250
Zn 0.746 0.254 0.750

Computed properties:
Symmetry   No. 63
Calculated volume   207 Å³/cell
E   -0.0762 Ry per atom

***

Look up the E of the fourth one. -0.3436 Ry per atom